[1]
Below is crystalline Pr2Nd3DyTe6 at its relaxed geometry, with properties calculated at the PBE-GGA level.

Cell: 19.5461 4.4590 9.0242 Å, 90.00 102.96 90.00°
Space group C2/m (No. 12)
One atom of each set of equivalent atoms:
Pr 0.1695 0.0000 0.3365 x4
Nd 0.0000 0.5000 0.5000 x2
Nd 0.1723 0.0000 0.8349 x4
Dy 0.0000 0.5000 0.0000 x2
Te 0.0018 0.0000 0.7594 x4
Te 0.1610 0.5000 0.0789 x4
Te 0.1645 0.5000 0.5847 x4

calculated volume	766.5	Å³ per cell
DOS(E_F)	0.56	states/eV per atom
total magnetic moment	0.0	μB/f.u.
formation energy without anion corrections	-16.860	eV per formula unit



[2]
Below is crystalline Pr3Nd4DyTe8 at its relaxed geometry, with properties calculated at the PBE-GGA level.

Cell: 8.9970 8.9970 21.9904 Å, 90.00 90.00 120.00°
Space group R-3m (No. 166, hexagonal axes)
One atom of each set of equivalent atoms:
Pr 0.0000 0.5000 0.0000 x9
Nd 0.0000 0.0000 0.5000 x3
Nd 0.0000 0.5000 0.5000 x9
Dy 0.0000 0.0000 0.0000 x3
Te 0.0000 0.0000 0.2491 x6
Te 0.0071 0.5035 0.7491 x18

calculated volume	1541.3	Å³ per cell
DOS(E_F)	0.78	states/eV per atom
total magnetic moment	0.0	μB/f.u.
formation energy without anion corrections	-22.471	eV per formula unit



[3]
Below is crystalline PrNd3Dy6Th2 at its relaxed geometry, with properties calculated at the PBE-GGA level.

Cell: 6.2563 10.8317 11.7955 Å, 90.00 100.20 90.00°
Space group C2/m (No. 12)
One atom of each set of equivalent atoms:
Pr 0.0000 0.0000 0.0000 x2
Nd 0.0000 0.1662 0.5000 x4
Nd 0.0000 0.5000 0.5000 x2
Dy 0.2436 0.5000 0.2458 x4
Dy 0.2485 0.3307 0.7544 x8
Th 0.0000 0.3334 0.0000 x4

calculated volume	786.7	Å³ per cell
DOS(E_F)	1.32	states/eV per atom
total magnetic moment	0.0	μB/f.u.
calculated formation energy	0.025	eV/atom



[4]
Below is crystalline Pr2NdDy5Th at its relaxed geometry, with properties calculated at the PBE-GGA level.

Cell: 5.6764 20.2082 10.5614 Å, 90.00 90.00 90.00°
Space group Cmc2_1 (No. 36)
One atom of each set of equivalent atoms:
Pr 0.0000 0.1146 0.0000 x4
Pr 0.0000 0.1167 0.4083 x4
Nd 0.0000 0.4126 0.1307 x4
Dy 0.0000 0.0166 0.7037 x4
Dy 0.0000 0.2768 0.9959 x4
Dy 0.0000 0.2983 0.3889 x4
Dy 0.0000 0.3884 0.7036 x4
Dy 0.0000 0.4788 0.4174 x4
Th 0.0000 0.2015 0.6932 x4

calculated volume	1211.5	Å³ per cell
DOS(E_F)	1.53	states/eV per atom
total magnetic moment	0.0	μB/f.u.
calculated formation energy	0.160	eV/atom



[5]
Below is crystalline PrNd4Dy2Th at its relaxed geometry, with properties calculated at the PBE-GGA level.

Cell: 11.5332 5.1501 10.2803 Å, 90.00 116.61 90.00°
Space group C2/m (No. 12)
One atom of each set of equivalent atoms:
Pr 0.0000 0.0000 0.0000 x2
Nd 0.2472 0.5000 0.6211 x4
Nd 0.2482 0.0000 0.8709 x4
Dy 0.0015 0.5000 0.7447 x4
Th 0.0000 0.0000 0.5000 x2

calculated volume	545.9	Å³ per cell
DOS(E_F)	1.63	states/eV per atom
total magnetic moment	0.0	μB/f.u.
calculated formation energy	0.040	eV/atom



[6]
Below is crystalline Pr2NdDyTh at its relaxed geometry, with properties calculated at the PBE-GGA level.

Cell: 6.4457 8.5378 6.6200 Å, 90.00 103.07 90.00°
Space group P2/c (No. 13)
One atom of each set of equivalent atoms:
Pr 0.2192 0.1714 0.1637 x4
Nd 0.0000 0.4025 0.7500 x2
Dy 0.5000 0.1629 0.7500 x2
Th 0.5000 0.5000 0.0000 x2

calculated volume	354.9	Å³ per cell
DOS(E_F)	1.73	states/eV per atom
total magnetic moment	0.0	μB/f.u.
calculated formation energy	0.238	eV/atom